The following is a PBE-GGA calculation of an optimized crystal structure of MnAl2Cl, from Alexandria via LeMat-Bulk.

Values from the calculation:
**Offset from the most stable computed form**: 314.5 meV/atom
**Electronic total energy**: -17.91 eV per formula unit

Cell: 4.8352 2.8982 5.1580 Å, 90.00 90.06 90.00°
Last column: nearest neighbours and their distance in Å.
Space group P2/m (No. 10)
Inequivalent atoms, fractional coordinates:
Mn  0.0000  0.0000  0.0000  4 Cl 2.82, 2 Mn 2.90, 4 Al 2.96
Al  0.0000  0.5000  0.5000  6 Al 2.82-2.90, 4 Mn 2.96
Al  0.5000  0.0000  0.5000  6 Al 2.82-2.90, 4 Cl 2.96
Cl  0.5000  0.5000  0.0000  4 Mn 2.82, 2 Cl 2.90, 4 Al 2.96



The following is a PBE-GGA calculation of an optimized crystal structure of MnAl2Cl, from Alexandria via LeMat-Bulk.

Values from the calculation:
**Offset from the most stable computed form**: 0.0 meV/atom
**Electronic total energy**: -19.16 eV per formula unit

Cell: 3.0663 3.0663 23.2864 Å, 90.00 90.00 120.00°
Last column: nearest neighbours and their distance in Å.
Space group R-3m (No. 166, hexagonal axes)
Inequivalent atoms, fractional coordinates:
Mn  0.0000  0.0000  0.0000  6 Al 2.50
Al  0.0000  0.0000  0.2574  3 Mn 2.50, 3 Cl 2.76
Cl  0.0000  0.0000  0.5000  6 Al 2.76, 6 Cl 3.07



The following is a PBE-GGA calculation of an optimized crystal structure of Mn2AlCl, from Alexandria via LeMat-Bulk.

Values from the calculation:
**Offset from the most stable computed form**: 99.0 meV/atom
**Electronic total energy**: -23.79 eV per formula unit

Cell: 2.9110 2.9110 7.3149 Å, 90.00 90.00 90.00°
Last column: nearest neighbours and their distance in Å.
Space group P4/mmm (No. 123)
Inequivalent atoms, fractional coordinates:
Mn  0.0000  0.0000  0.2368  4 Al 2.69, 4 Cl 2.82, 4 Mn 2.91
Al  0.5000  0.5000  0.0000  8 Mn 2.69, 4 Al 2.91
Cl  0.5000  0.5000  0.5000  8 Mn 2.82, 4 Cl 2.91



The following is a PBE-GGA calculation of an optimized crystal structure of Mn2AlCl, from Alexandria via LeMat-Bulk.

Values from the calculation:
**Offset from the most stable computed form**: 413.2 meV/atom
**Electronic total energy**: -22.53 eV per formula unit

Cell: 3.6789 3.6789 10.1011 Å, 90.00 90.00 90.00°
Last column: nearest neighbours and their distance in Å.
Space group I-4m2 (No. 119)
Inequivalent atoms, fractional coordinates:
Mn  0.0000  0.0000  0.0000  4 Cl 2.60
Mn  0.0000  0.5000  0.2500  4 Al 2.60
Al  0.0000  0.5000  0.7500  4 Mn 2.60
Cl  0.0000  0.0000  0.5000  4 Mn 2.60



The following is a PBE-GGA calculation of an optimized crystal structure of MnAl2Cl, from Alexandria via LeMat-Bulk.

Values from the calculation:
**Offset from the most stable computed form**: 292.7 meV/atom
**Electronic total energy**: -17.99 eV per formula unit

Cell: 2.9848 4.9954 4.7029 Å, 90.00 91.17 90.00°
Last column: nearest neighbours and their distance in Å.
Space group P2/m (No. 10)
Inequivalent atoms, fractional coordinates:
Mn  0.0000  0.0000  0.0000  2 Cl 2.35
Al  0.2746  0.5000  0.2411  4 Al 2.66-2.96, 2 Mn 2.86, 2 Cl 2.90
Cl  0.0000  0.0000  0.5000  2 Mn 2.35



The following is a PBE-GGA calculation of an optimized crystal structure of Mn2AlCl, from Alexandria via LeMat-Bulk.

Values from the calculation:
**Offset from the most stable computed form**: 512.7 meV/atom
**Electronic total energy**: -22.13 eV per formula unit

Cell: 4.1734 4.1734 7.5961 Å, 90.00 90.00 90.00°
Last column: nearest neighbours and their distance in Å.
Space group I4/mmm (No. 139)
Inequivalent atoms, fractional coordinates:
Mn  0.0000  0.5000  0.2500  4 Al 2.82, 4 Cl 2.82, 4 Mn 2.95
Al  0.0000  0.0000  0.0000  8 Mn 2.82, 4 Cl 2.95
Cl  0.0000  0.0000  0.5000  8 Mn 2.82, 4 Al 2.95



The following is a PBE-GGA calculation of an optimized crystal structure of MnAl2Cl, from Alexandria via LeMat-Bulk.

Values from the calculation:
**Offset from the most stable computed form**: 314.1 meV/atom
**Electronic total energy**: -17.91 eV per formula unit

Cell: 3.0476 4.9656 9.1667 Å, 90.00 90.00 90.00°
Last column: nearest neighbours and their distance in Å.
Space group Immm (No. 71)
Inequivalent atoms, fractional coordinates:
Mn  0.0000  0.0000  0.0000  4 Al 2.68, 4 Cl 2.91
Al  0.0000  0.5000  0.2593  2 Mn 2.68, 2 Cl 2.82, 4 Al 2.92
Cl  0.0000  0.0000  0.5000  4 Al 2.82, 4 Mn 2.91, 2 Cl 3.05



The following is a PBE-GGA calculation of an optimized crystal structure of MnAlCl5, from Alexandria via LeMat-Bulk.

Values from the calculation:
**Electronic total energy**: -31.20 eV per formula unit

Cell: 9.8245 9.8799 9.2542 Å, 90.00 118.33 90.00°
Last column: nearest neighbours and their distance in Å.
Space group C2/c (No. 15)
Inequivalent atoms, fractional coordinates:
Mn  0.0000  0.0000  0.0000  6 Cl 2.41-2.65
Al  0.0000  0.3829  0.2500  4 Cl 2.16-2.17
Cl  0.0000  0.0684  0.7500  2 Mn 2.41
Cl  0.0106  0.2637  0.4510  1 Al 2.16
Cl  0.1952  0.4790  0.8424  1 Al 2.17



The following is a PBE-GGA calculation of an optimized crystal structure of Mn2AlCl, from Alexandria via LeMat-Bulk.

Values from the calculation:
**Offset from the most stable computed form**: 0.0 meV/atom
**Electronic total energy**: -24.18 eV per formula unit

Cell: 3.1396 3.0758 14.0363 Å, 90.00 90.00 90.00°
Last column: nearest neighbours and their distance in Å.
Space group Amm2 (No. 38)
Inequivalent atoms, fractional coordinates:
Mn  0.0000  0.0000  0.0000  2 Cl 2.43, 4 Al 2.62
Mn  0.0000  0.0000  0.2010  1 Cl 2.31
Al  0.5000  0.0000  0.6021  8 Mn 2.60-2.62
Cl  0.0000  0.0000  0.3659  3 Mn 2.31-2.43



The following is a PBE-GGA calculation of an optimized crystal structure of Mn2AlCl, from Alexandria via LeMat-Bulk.

Values from the calculation:
**Offset from the most stable computed form**: 85.8 meV/atom
**Electronic total energy**: -23.84 eV per formula unit

Cell: 3.0355 3.0355 23.8202 Å, 90.00 90.00 120.00°
Last column: nearest neighbours and their distance in Å.
Space group R-3m (No. 166, hexagonal axes)
Inequivalent atoms, fractional coordinates:
Mn  0.0000  0.0000  0.2494  3 Cl 2.64, 3 Al 2.66
Al  0.0000  0.0000  0.0000  6 Mn 2.66
Cl  0.0000  0.0000  0.5000  6 Mn 2.64



The following is a PBE-GGA calculation of an optimized crystal structure of Mn2AlCl, from Alexandria via LeMat-Bulk.

Values from the calculation:
**Offset from the most stable computed form**: 306.7 meV/atom
**Electronic total energy**: -22.96 eV per formula unit

Cell: 2.9325 4.3523 5.1925 Å, 90.00 90.00 90.00°
Last column: nearest neighbours and their distance in Å.
Space group Pmmm (No. 47)
Inequivalent atoms, fractional coordinates:
Mn  0.0000  0.0000  0.0000  4 Cl 2.62, 2 Mn 2.93
Mn  0.5000  0.0000  0.5000  4 Al 2.62, 2 Mn 2.93
Al  0.0000  0.5000  0.5000  4 Mn 2.62, 2 Al 2.93
Cl  0.5000  0.5000  0.0000  4 Mn 2.62, 2 Cl 2.93



The following is a PBE-GGA calculation of an optimized crystal structure of Mn2AlCl, from Alexandria via LeMat-Bulk.

Values from the calculation:
**Offset from the most stable computed form**: 332.7 meV/atom
**Electronic total energy**: -22.85 eV per formula unit

Cell: 4.7721 4.7721 2.8674 Å, 90.00 90.00 90.00°
Last column: nearest neighbours and their distance in Å.
Space group P4/mmm (No. 123)
Inequivalent atoms, fractional coordinates:
Mn  0.0000  0.5000  0.0000  4 Cl 2.78, 4 Al 2.78, 2 Mn 2.87
Al  0.0000  0.0000  0.5000  8 Mn 2.78, 2 Al 2.87
Cl  0.5000  0.5000  0.5000  8 Mn 2.78, 2 Cl 2.87



The following is a PBE-GGA calculation of an optimized crystal structure of Mn2AlCl, from Alexandria via LeMat-Bulk.

Values from the calculation:
**Offset from the most stable computed form**: 114.2 meV/atom
**Electronic total energy**: -23.73 eV per formula unit

Cell: 8.4897 2.9404 7.5155 Å, 90.00 123.22 90.00°
Last column: nearest neighbours and their distance in Å.
Space group C2/m (No. 12)
Inequivalent atoms, fractional coordinates:
Mn  0.1366  0.0000  0.3238  2 Cl 2.52, 3 Al 2.61-2.63, 2 Mn 2.70
Al  0.0000  0.5000  0.5000  6 Mn 2.61-2.63
Cl  0.0000  0.5000  0.0000  4 Mn 2.52



The following is a PBE-GGA calculation of an optimized crystal structure of MnAl2Cl, from Alexandria via LeMat-Bulk.

Values from the calculation:
**Offset from the most stable computed form**: 276.9 meV/atom
**Electronic total energy**: -18.06 eV per formula unit

Cell: 10.7470 2.9645 4.4867 Å, 90.00 96.37 90.00°
Last column: nearest neighbours and their distance in Å.
Space group C2/m (No. 12)
Inequivalent atoms, fractional coordinates:
Mn  0.0000  0.0000  0.0000  4 Cl 2.69, 4 Al 2.84, 2 Mn 2.96
Al  0.2134  0.5000  0.2387  1 Cl 2.69, 6 Al 2.79-2.96, 2 Mn 2.84
Cl  0.0000  0.5000  0.5000  4 Mn 2.69, 2 Al 2.69, 2 Cl 2.96



One value per record, in order, for magnetization: 4.04, 1.97, 6.87, 7.63, 3.28, 7.38, 3.55, 5.00, 6.48, 7.23, 7.24, 7.16, 6.93, 3.72 μB per formula unit.
One value per record, in order, for uncorrected formation energy: 57, -64, 13, 135, 49, 173, 57, -873, -25, 8, 94, 104, 19, 43 kJ/mol of formula units.